No. 1
# Li2DyZnGe2 | the Alexandria database | GGA-PBE | optimized geometry
data_Li2DyZnGe2
_space_group_name_H-M_alt 'P m c 21'
_space_group_IT_number 26
_cell_length_a 4.1929
_cell_length_b 7.7294
_cell_length_c 7.0388
_cell_angle_alpha 90.00
_cell_angle_beta 90.00
_cell_angle_gamma 90.00
loop_
_space_group_symop_operation_xyz
'x,y,z'
'-x,-y,z+1/2'
'-x,y,z'
'x,-y,z+1/2'
loop_
_atom_site_label
_atom_site_type_symbol
_atom_site_fract_x
_atom_site_fract_y
_atom_site_fract_z
Li1 Li 0.0000 0.0688 0.0000
Li2 Li 0.5000 0.1714 0.3253
Dy1 Dy 0.5000 0.4356 0.9603
Zn1 Zn 0.0000 0.3064 0.6201
Ge1 Ge 0.0000 0.3683 0.2462
Ge2 Ge 0.5000 0.1383 0.6984
# - E_form (meV/atom) = -477
# - crystal system = orthorhombic
# - total DFT energy (no corrections) (eV per atom) = -3.63
# - M_tot (μB/cell) = 0.00
# - theoretical density (Mg/m³) = 5.64

No. 2
# Rb2Li2PbF6 | the Alexandria database | GGA-PBE | optimized geometry
data_Rb2Li2PbF6
_space_group_name_H-M_alt 'R -3 m'
_space_group_IT_number 166
_space_group_name_Hall '-R 3 2"'
_cell_length_a 6.2695
_cell_length_b 6.2695
_cell_length_c 18.8858
_cell_angle_alpha 90.00
_cell_angle_beta 90.00
_cell_angle_gamma 120.00
loop_
_atom_site_label
_atom_site_type_symbol
_atom_site_fract_x
_atom_site_fract_y
_atom_site_fract_z
Rb1 Rb 0.0000 0.0000 0.2082
Li1 Li 0.0000 0.0000 0.4216
Pb1 Pb 0.0000 0.0000 0.0000
F1 F 0.0028 0.5014 0.2461
# - formation energy (no corrections) (eV/atom) = -2.6523
# - crystal system = trigonal
# - total DFT energy (no corrections) (eV per atom) = -4.53
# - M_tot (μB/cell) = 0.00
# - theoretical density (Mg/m³) = 3.92

No. 3
# Tm4ZnPb | the Alexandria database | GGA-PBE | optimized geometry
data_Tm4ZnPb
_space_group_name_H-M_alt 'F -4 3 m'
_space_group_IT_number 216
_space_group_name_Hall 'F -4 2 3'
_cell_length_a 13.7654
_cell_length_b 13.7654
_cell_length_c 13.7654
_cell_angle_alpha 90.00
_cell_angle_beta 90.00
_cell_angle_gamma 90.00
loop_
_atom_site_label
_atom_site_type_symbol
_atom_site_fract_x
_atom_site_fract_y
_atom_site_fract_z
Tm1 Tm 0.0000 0.0000 0.1854
Tm2 Tm 0.0609 0.2500 0.7500
Tm3 Tm 0.1354 0.1354 0.3646
Zn1 Zn 0.1514 0.1514 0.1514
Pb1 Pb 0.0942 0.0942 0.5942
# - E_form (meV/atom) = -256
# - crystal system = cubic
# - total DFT energy (no corrections) (eV per atom) = -4.07
# - M_tot (μB/cell) = 0.00
# - energy above the lowest structure with this stoichiometry (eV/atom) = 0.000
# - theoretical density (Mg/m³) = 9.66

No. 4
# Nb3VN | the Alexandria database | GGA-PBE | optimized geometry
data_Nb3VN
_space_group_name_H-M_alt 'P m -3 m'
_space_group_IT_number 221
_space_group_name_Hall '-P 4 2 3'
_cell_length_a 4.5906
_cell_length_b 4.5906
_cell_length_c 4.5906
_cell_angle_alpha 90.00
_cell_angle_beta 90.00
_cell_angle_gamma 90.00
loop_
_atom_site_label
_atom_site_type_symbol
_atom_site_fract_x
_atom_site_fract_y
_atom_site_fract_z
Nb1 Nb 0.0000 0.0000 0.5000
V1 V 0.0000 0.0000 0.0000
N1 N 0.5000 0.5000 0.5000
# - formation energy (no corrections) (eV/atom) = 1.9464
# - crystal system = cubic
# - total DFT energy (no corrections) (eV per atom) = -7.58
# - M_tot (μB/cell) = 0.00
# - energy above the lowest structure with this stoichiometry (eV/atom) = 2.386
# - theoretical density (Mg/m³) = 5.90

No. 5
# Ca2C2Br | the Alexandria database | GGA-PBE | optimized geometry
data_Ca2C2Br
_space_group_name_H-M_alt 'C 1 2/m 1'
_space_group_IT_number 12
_cell_length_a 6.5945
_cell_length_b 4.6697
_cell_length_c 7.1086
_cell_angle_alpha 90.00
_cell_angle_beta 94.58
_cell_angle_gamma 90.00
loop_
_space_group_symop_operation_xyz
'x,y,z'
'-x,-y,-z'
'-x,y,-z'
'x,-y,z'
'x+1/2,y+1/2,z'
'-x+1/2,-y+1/2,-z'
'-x+1/2,y+1/2,-z'
'x+1/2,-y+1/2,z'
loop_
_atom_site_label
_atom_site_type_symbol
_atom_site_fract_x
_atom_site_fract_y
_atom_site_fract_z
Ca1 Ca 0.1643 0.0000 0.3087
C1 C 0.0000 0.3619 0.5000
Br1 Br 0.0000 0.5000 0.0000
# - formation energy (no corrections) (eV/atom) = -0.5858
# - crystal system = monoclinic
# - total DFT energy (no corrections) (eV per atom) = -5.41
# - M_tot (μB/cell) = 0.00
# - theoretical density (Mg/m³) = 2.80

No. 6
# Sr2Zn3In5 | the Alexandria database | GGA-PBE | optimized geometry
data_Sr2Zn3In5
_space_group_name_H-M_alt 'I b a m'
_space_group_IT_number 72
_space_group_name_Hall '-I 2 2c'
_cell_length_a 11.8684
_cell_length_b 13.1904
_cell_length_c 6.5578
_cell_angle_alpha 90.00
_cell_angle_beta 90.00
_cell_angle_gamma 90.00
loop_
_atom_site_label
_atom_site_type_symbol
_atom_site_fract_x
_atom_site_fract_y
_atom_site_fract_z
Sr1 Sr 0.2493 0.1282 0.0000
Zn1 Zn 0.0000 0.0000 0.2500
Zn2 Zn 0.1369 0.3768 0.0000
In1 In 0.0000 0.2544 0.2500
In2 In 0.0000 0.5000 0.2500
In3 In 0.1399 0.1149 0.5000
# - E_form (meV/atom) = -286
# - crystal system = orthorhombic
# - total DFT energy (no corrections) (eV per atom) = -2.37
# - M_tot (μB/cell) = 0.00
# - energy above the lowest structure with this stoichiometry (eV/atom) = 0.000
# - theoretical density (Mg/m³) = 6.12

No. 7
# Dy8Ni2Ru | the Alexandria database | GGA-PBE | optimized geometry
data_Dy8Ni2Ru
_space_group_name_H-M_alt 'C 1 2/m 1'
_space_group_IT_number 12
_cell_length_a 17.0173
_cell_length_b 5.0112
_cell_length_c 6.6285
_cell_angle_alpha 90.00
_cell_angle_beta 105.91
_cell_angle_gamma 90.00
loop_
_space_group_symop_operation_xyz
'x,y,z'
'-x,-y,-z'
'-x,y,-z'
'x,-y,z'
'x+1/2,y+1/2,z'
'-x+1/2,-y+1/2,-z'
'-x+1/2,y+1/2,-z'
'x+1/2,-y+1/2,z'
loop_
_atom_site_label
_atom_site_type_symbol
_atom_site_fract_x
_atom_site_fract_y
_atom_site_fract_z
Dy1 Dy 0.0360 0.0000 0.2930
Dy2 Dy 0.0912 0.5000 0.9447
Dy3 Dy 0.1702 0.5000 0.4757
Dy4 Dy 0.2002 0.0000 0.8243
Ni1 Ni 0.1893 0.0000 0.2175
Ru1 Ru 0.0000 0.5000 0.5000
# - E_form (meV/atom) = -238
# - crystal system = monoclinic
# - total DFT energy (no corrections) (eV per atom) = -5.48
# - M_tot (μB/cell) = 0.00
# - energy above the lowest structure with this stoichiometry (eV/atom) = 0.000
# - theoretical density (Mg/m³) = 9.28